No. 1
PBE TaHgAu3, optimized geometry; N(E_F) = 3.78 states/eV/cell; M_tot = 0.000 μB/f.u.; energy of formation = 849.1 meV per atom; calculated volume = 27.9 Å³ per atom
1.0
5.1880 0.0000 0.0000
0.0000 5.1880 0.0000
0.0000 0.0000 5.1880
Ta Hg Au
1 1 3
direct
0.0000 0.0000 0.0000
0.5000 0.5000 0.5000
0.0000 0.0000 0.5000
0.0000 0.5000 0.0000
0.5000 0.0000 0.0000

***

No. 2
PBE TaHgAu, optimized geometry; N(E_F) = 2.95 states/eV/cell; M_tot = 0.000 μB/f.u.; energy of formation = 178.9 meV per atom; calculated volume = 19.2 Å³ per atom
1.0
7.4086 -1.4968 0.0000
7.4086 1.4968 0.0000
-0.7659 0.0000 5.1954
Ta Hg Au
2 2 2
direct
0.0000 0.0000 0.0000
0.1463 0.1463 0.3860
0.3276 0.3276 0.0633
0.8203 0.8203 0.5617
0.4952 0.4952 0.4990
0.6528 0.6528 0.8986

***

No. 3
PBE Ta2HgAu, optimized geometry; N(E_F) = 2.68 states/eV/cell; M_tot = 0.000 μB/f.u.; energy of formation = 228.0 meV per atom; calculated volume = 18.8 Å³ per atom
1.0
4.8191 -1.5119 0.0000
4.8191 1.5119 0.0000
-0.9895 0.0000 5.1510
Ta Hg Au
2 1 1
direct
0.0000 0.0000 0.0000
0.7356 0.7356 0.2319
0.4934 0.4934 0.4959
0.2523 0.2523 0.7502

***

No. 4
PBE Ta2HgAu, optimized geometry; N(E_F) = 3.32 states/eV/cell; M_tot = 0.000 μB/f.u.; energy of formation = 249.9 meV per atom; calculated volume = 18.7 Å³ per atom
1.0
1.4772 0.8529 9.8988
-1.4772 0.8529 9.8988
0.0000 -1.7058 9.8988
Ta Hg Au
2 1 1
direct
0.2473 0.2473 0.2473
0.7527 0.7527 0.7527
0.0000 0.0000 0.0000
0.5000 0.5000 0.5000

***

No. 5
PBE TaHgAu2, optimized geometry; N(E_F) = 2.86 states/eV/cell; M_tot = 0.000 μB/f.u.; energy of formation = 177.4 meV per atom; calculated volume = 18.8 Å³ per atom
1.0
4.5135 0.0000 0.0000
0.0000 1.4399 5.7880
0.0000 -1.4399 5.7880
Ta Hg Au
1 1 2
direct
0.0000 0.0000 0.0000
0.5000 0.3499 0.3499
0.0000 0.7396 0.7396
0.5000 0.5941 0.5941

***

No. 6
PBE TaHgAu2, optimized geometry; N(E_F) = 2.00 states/eV/cell; M_tot = 0.000 μB/f.u.; energy of formation = 184.8 meV per atom; calculated volume = 18.8 Å³ per atom
1.0
4.7642 -1.4689 0.0000
4.7642 1.4689 0.0000
-0.8022 0.0000 5.3837
Ta Hg Au
1 1 2
direct
0.0000 0.0000 0.0000
0.7504 0.7504 0.2788
0.2561 0.2561 0.7928
0.5036 0.5036 0.5223